No. 1
Material: Ta2SbBr
Method: DFT, GGA-PBEsol
State: relaxed

- N(E_F) (states/eV/atom) = 0.642
- V (Å³/cell) = 88
- energy relative to the elements, uncorrected (eV/atom) = 0.077
- crystal system = tetragonal

abc: 3.3818 3.3818 7.7310
angles: 90.00 90.00 90.00
Closest atoms and distances in Å follow each position.
Element x y z (fractional)
Ta1 0.0000 0.0000 0.0000  4 Ta 2.79, 4 Sb 2.86
Ta2 0.5000 0.5000 0.1857  4 Ta 2.79, 1 Sb 3.01, 4 Br 3.04
Sb1 0.5000 0.5000 0.7962  5 Ta 2.86-3.01
Br1 0.0000 0.0000 0.4280  5 Ta 3.04-3.31, 4 Br 3.38



No. 2
Material: Ta2SbBr
Method: DFT, GGA-PBEsol
State: relaxed

- N(E_F) (states/eV/atom) = 1.494
- V (Å³/cell) = 74
- energy relative to the elements, uncorrected (eV/atom) = 0.409
- crystal system = tetragonal

abc: 4.7015 4.7015 4.7015
angles: 119.87 119.87 90.22
Closest atoms and distances in Å follow each position.
Element x y z (fractional)
Ta1 0.2500 0.7500 0.5000  4 Br 2.88, 4 Sb 2.88
Ta2 0.7500 0.2500 0.5000  4 Br 2.88, 4 Sb 2.88
Sb1 0.0000 0.0000 0.0000  8 Ta 2.88
Br1 0.5000 0.5000 0.0000  8 Ta 2.88



No. 3
Material: TaSb2TeBr
Method: DFT, GGA-PBEsol
State: relaxed

- N(E_F) (states/eV/atom) = 0.515
- V (Å³/cell) = 148
- energy relative to the elements, uncorrected (eV/atom) = 0.180
- crystal system = tetragonal

abc: 5.3285 5.3285 5.2023
angles: 90.00 90.00 90.00
Closest atoms and distances in Å follow each position.
Element x y z (fractional)
Ta1 0.0000 0.0000 0.0000  2 Te 2.60, 4 Sb 2.66
Sb1 0.0000 0.5000 0.0000  2 Ta 2.66
Sb2 0.5000 0.0000 0.0000  2 Ta 2.66
Te1 0.0000 0.0000 0.5000  2 Ta 2.60
Br1 0.5000 0.5000 0.5000  8 Sb 3.72, 4 Te 3.77



No. 4
Material: TcSb2Br
Method: DFT, GGA-PBEsol
State: relaxed

- N(E_F) (states/eV/atom) = 0.803
- V (Å³/cell) = 90
- energy relative to the elements, uncorrected (eV/atom) = 0.312
- crystal system = tetragonal

abc: 3.4465 3.4465 7.5705
angles: 90.00 90.00 90.00
Closest atoms and distances in Å follow each position.
Element x y z (fractional)
Tc1 0.0000 0.0000 0.0000  5 Sb 2.68-2.98
Sb1 0.0000 0.0000 0.6066  1 Tc 2.98, 4 Sb 3.07
Sb2 0.5000 0.5000 0.8528  4 Tc 2.68
Br1 0.5000 0.5000 0.2542  1 Sb 3.04, 4 Tc 3.11



No. 5
Material: TcSb2Br
Method: DFT, GGA-PBEsol
State: relaxed

- N(E_F) (states/eV/atom) = 0.433
- V (Å³/cell) = 85
- energy relative to the elements, uncorrected (eV/atom) = -0.030
- crystal system = tetragonal

abc: 3.2900 3.2900 7.8657
angles: 90.00 90.00 90.00
Closest atoms and distances in Å follow each position.
Element x y z (fractional)
Tc1 0.0000 0.0000 0.0000  8 Sb 2.81
Sb1 0.5000 0.5000 0.2011  4 Tc 2.81
Sb2 0.5000 0.5000 0.7989  4 Tc 2.81
Br1 0.0000 0.0000 0.5000  4 Br 3.29, 8 Sb 3.31



No. 6
Material: TcSbBr3
Method: DFT, GGA-PBEsol
State: relaxed

- N(E_F) (states/eV/atom) = 1.108
- V (Å³/cell) = 121
- energy relative to the elements, uncorrected (eV/atom) = 0.399
- crystal system = cubic

abc: 4.9515 4.9515 4.9515
angles: 90.00 90.00 90.00
Closest atoms and distances in Å follow each position.
Element x y z (fractional)
Tc1 0.0000 0.0000 0.0000  6 Br 2.48
Sb1 0.5000 0.5000 0.5000  12 Br 3.50
Br1 0.0000 0.0000 0.5000  2 Tc 2.48
Br2 0.0000 0.5000 0.0000  2 Tc 2.48
Br3 0.5000 0.0000 0.0000  2 Tc 2.48



No. 7
Material: TcSbTe2Br
Method: DFT, GGA-PBEsol
State: relaxed

- N(E_F) (states/eV/atom) = 1.052
- V (Å³/cell) = 137
- energy relative to the elements, uncorrected (eV/atom) = 0.337
- crystal system = tetragonal

abc: 5.1223 5.1223 5.2148
angles: 90.00 90.00 90.00
Closest atoms and distances in Å follow each position.
Element x y z (fractional)
Tc1 0.0000 0.0000 0.0000  4 Te 2.56, 2 Sb 2.61
Sb1 0.0000 0.0000 0.5000  2 Tc 2.61
Te1 0.0000 0.5000 0.0000  2 Tc 2.56
Te2 0.5000 0.0000 0.0000  2 Tc 2.56
Br1 0.5000 0.5000 0.5000  4 Sb 3.62, 8 Te 3.65



No. 8
Material: Sb2TeBr
Method: DFT, GGA-PBEsol
State: relaxed

- N(E_F) (states/eV/atom) = 0.431
- V (Å³/cell) = 117
- energy relative to the elements, uncorrected (eV/atom) = 0.011
- crystal system = orthorhombic

abc: 6.0750 6.0750 3.2243
angles: 90.00 90.00 100.11
Closest atoms and distances in Å follow each position.
Element x y z (fractional)
Sb1 0.0000 0.5000 0.0000  2 Br 3.04, 2 Te 3.04, 2 Sb 3.22
Sb2 0.5000 0.0000 0.0000  2 Br 3.04, 2 Te 3.04, 2 Sb 3.22
Te1 0.0000 0.0000 0.0000  4 Sb 3.04, 2 Te 3.22
Br1 0.5000 0.5000 0.0000  4 Sb 3.04, 2 Br 3.22



No. 9
Material: Sb2TeBr
Method: DFT, GGA-PBEsol
State: relaxed

- N(E_F) (states/eV/atom) = 0.749
- V (Å³/cell) = 104
- energy relative to the elements, uncorrected (eV/atom) = 0.150
- crystal system = tetragonal

abc: 5.3003 5.3003 3.6949
angles: 90.00 90.00 90.00
Closest atoms and distances in Å follow each position.
Element x y z (fractional)
Sb1 0.0000 0.5000 0.0000  4 Br 3.23, 4 Te 3.23
Sb2 0.5000 0.0000 0.0000  4 Br 3.23, 4 Te 3.23
Te1 0.0000 0.0000 0.5000  8 Sb 3.23
Br1 0.5000 0.5000 0.5000  8 Sb 3.23



No. 10
Material: Sb2TeBr
Method: DFT, GGA-PBEsol
State: relaxed

- N(E_F) (states/eV/atom) = 0.447
- V (Å³/cell) = 128
- energy relative to the elements, uncorrected (eV/atom) = -0.031
- crystal system = monoclinic

abc: 5.3933 5.3933 7.1865
angles: 114.92 114.92 43.32
Closest atoms and distances in Å follow each position.
Element x y z (fractional)
Sb1 0.2275 0.2275 0.3246  3 Te 3.07-3.15, 2 Sb 3.08, 2 Br 3.13
Sb2 0.7725 0.7725 0.6754  3 Te 3.07-3.15, 2 Sb 3.08, 2 Br 3.13
Te1 0.0000 0.0000 0.5000  6 Sb 3.07-3.15
Br1 0.5000 0.5000 0.0000  4 Sb 3.13



No. 11
Material: SbTe2WBr
Method: DFT, GGA-PBEsol
State: relaxed

- N(E_F) (states/eV/atom) = 0.974
- V (Å³/cell) = 151
- energy relative to the elements, uncorrected (eV/atom) = 1.900
- crystal system = tetragonal

abc: 5.2909 5.2909 5.3873
angles: 90.00 90.00 90.00
Closest atoms and distances in Å follow each position.
Element x y z (fractional)
Sb1 0.0000 0.0000 0.0000  2 Br 2.69
Te1 0.0000 0.5000 0.5000  2 Br 2.65
Te2 0.5000 0.0000 0.5000  2 Br 2.65
W1 0.5000 0.5000 0.0000  4 Sb 3.74, 8 Te 3.78
Br1 0.0000 0.0000 0.5000  4 Te 2.65, 2 Sb 2.69



No. 12
Material: Ti3SbBr
Method: DFT, GGA-PBEsol
State: relaxed

- N(E_F) (states/eV/atom) = 1.634
- V (Å³/cell) = 137
- energy relative to the elements, uncorrected (eV/atom) = 0.861
- crystal system = cubic

abc: 5.1577 5.1577 5.1577
angles: 90.00 90.00 90.00
Closest atoms and distances in Å follow each position.
Element x y z (fractional)
Ti1 0.0000 0.0000 0.5000  2 Sb 2.58
Ti2 0.0000 0.5000 0.0000  2 Sb 2.58
Ti3 0.5000 0.0000 0.0000  2 Sb 2.58
Sb1 0.0000 0.0000 0.0000  6 Ti 2.58
Br1 0.5000 0.5000 0.5000  12 Ti 3.65



No. 13
Material: TlSbBr
Method: DFT, GGA-PBEsol
State: relaxed

- N(E_F) (states/eV/atom) = 0.471
- V (Å³/cell) = 82
- energy relative to the elements, uncorrected (eV/atom) = -0.065
- crystal system = hexagonal

abc: 5.3318 5.3318 3.3368
angles: 90.00 90.00 120.00
Closest atoms and distances in Å follow each position.
Element x y z (fractional)
Tl1 0.0000 0.0000 0.0000  2 Tl 3.34, 6 Br 3.50, 6 Sb 3.50
Sb1 0.3333 0.6667 0.5000  3 Br 3.08, 2 Sb 3.34
Br1 0.6667 0.3333 0.5000  3 Sb 3.08, 2 Br 3.34



No. 14
Material: Tl2Sb2Br
Method: DFT, GGA-PBEsol
State: relaxed

- N(E_F) (states/eV/atom) = 0.292
- V (Å³/cell) = 159
- energy relative to the elements, uncorrected (eV/atom) = -0.224
- crystal system = tetragonal

abc: 9.5016 9.5016 9.5016
angles: 154.51 154.51 36.36
Closest atoms and distances in Å follow each position.
Element x y z (fractional)
Tl1 0.0928 0.0928 0.0000  1 Tl 3.35, 4 Br 3.41, 4 Sb 3.53
Tl2 0.9072 0.9072 0.0000  1 Tl 3.35, 4 Br 3.41, 4 Sb 3.53
Sb1 0.2500 0.7500 0.5000  4 Sb 2.96
Sb2 0.7500 0.2500 0.5000  4 Sb 2.96
Br1 0.5000 0.5000 0.0000  8 Tl 3.41



No. 15
Material: TlSbBr
Method: DFT, GGA-PBEsol
State: relaxed

- N(E_F) (states/eV/atom) = 0.667
- V (Å³/cell) = 94
- energy relative to the elements, uncorrected (eV/atom) = 0.058
- crystal system = cubic

abc: 5.1071 5.1071 5.1071
angles: 60.00 60.00 60.00
Closest atoms and distances in Å follow each position.
Element x y z (fractional)
Tl1 0.0000 0.0000 0.0000  4 Sb 3.13
Sb1 0.7500 0.7500 0.7500  4 Br 3.13, 4 Tl 3.13
Br1 0.5000 0.5000 0.5000  4 Sb 3.13